1.
This record from Alexandria describes Li4LaAu after structural relaxation. The functional is GGA-PBEsol.

It has space group F-43m (No. 216), with a = 7.5773 Å, b = 7.5773 Å, c = 7.5773 Å, α = 90.00°, β = 90.00° and γ = 90.00°. Symmetry generates all atoms from Li at (0.1216, 0.1216, 0.1216), La at (0.0000, 0.0000, 0.5000) and Au at (0.2500, 0.2500, 0.7500).

Its energy relative to the elements is -0.16 eV/atom. The total energy comes out at -3.01 eV/atom. The total moment is 0.0 μB per cell.

***

2.
This record from Alexandria describes CdNi after structural relaxation. The functional is GGA-PBEsol.

It has space group P4/nmm (No. 129, origin choice 2), with a = 2.9182 Å, b = 2.9182 Å, c = 6.9771 Å, α = 90.00°, β = 90.00° and γ = 90.00°. Symmetry generates all atoms from Cd at (0.2500, 0.2500, 0.1678) and Ni at (0.2500, 0.2500, 0.5876).

Its energy relative to the elements is 0.07 eV/atom. The total energy comes out at -3.61 eV/atom. The total moment is 0.3 μB per cell.

***

3.
This record from Alexandria describes Co4TeO8 after structural relaxation. The functional is GGA-PBEsol.

It has space group P-1 (No. 2), with a = 4.8439 Å, b = 5.8032 Å, c = 5.8060 Å, α = 60.13°, β = 83.16° and γ = 83.35°. Symmetry generates all atoms from Co at (0.0000, 0.0000, 0.0000), Co at (0.0000, 0.0000, 0.5000), Co at (0.0000, 0.5000, 0.0000), Co at (0.5000, 0.0000, 0.0000), Te at (0.0000, 0.5000, 0.5000), O at (0.1920, 0.6619, 0.6611), O at (0.2022, 0.1480, 0.1471), O at (0.2159, 0.1404, 0.6690) and O at (0.2163, 0.6705, 0.1396).

The total energy comes out at -6.75 eV/atom. The calculation puts the formation energy without anion corrections at -0.869 eV/atom. The total moment is 2.0 μB per cell.

***

4.
This record from Alexandria describes LaNb3Ag after structural relaxation. The functional is GGA-PBEsol.

It has space group Pm-3m (No. 221), with a = 4.9875 Å, b = 4.9875 Å, c = 4.9875 Å, α = 90.00°, β = 90.00° and γ = 90.00°. Symmetry generates all atoms from La at (0.0000, 0.0000, 0.0000), Nb at (0.0000, 0.5000, 0.5000) and Ag at (0.5000, 0.5000, 0.5000).

Its energy relative to the elements is 1.48 eV/atom. The total energy comes out at -6.75 eV/atom. The total moment is 0.0 μB per cell.

***

5.
This record from Alexandria describes LiPRu2Br after structural relaxation. The functional is GGA-PBEsol.

It has space group P4/mmm (No. 123), with a = 4.5015 Å, b = 4.5015 Å, c = 4.8943 Å, α = 90.00°, β = 90.00° and γ = 90.00°. Symmetry generates all atoms from Li at (0.0000, 0.0000, 0.0000), P at (0.5000, 0.5000, 0.0000), Ru at (0.0000, 0.5000, 0.5000) and Br at (0.5000, 0.5000, 0.5000).

The total energy comes out at -4.50 eV/atom. The calculation puts the formation energy without anion corrections at 1.494 eV/atom. The total moment is 0.0 μB per cell.

***

6.
This record from Alexandria describes HfCd2Si2 after structural relaxation. The functional is GGA-PBEsol.

It has space group I4/mmm (No. 139), with a = 3.3702 Å, b = 3.3702 Å, c = 17.3336 Å, α = 90.00°, β = 90.00° and γ = 90.00°. Symmetry generates all atoms from Hf at (0.0000, 0.0000, 0.0000), Cd at (0.0000, 0.0000, 0.3902) and Si at (0.0000, 0.5000, 0.2500).

The total energy comes out at -4.60 eV/atom. The calculation puts the formation energy without anion corrections at 0.282 eV/atom. The total moment is 0.0 μB per cell.